# 1
ReRhIO2: PBEsol geometry, SCAN.

Properties
E_form (uncorrected) = 0.86 eV per atom
Volume = 89 Å³/f.u.

Cell: 3.7555 3.7555 6.3452 Å, 90.00 90.00 90.00°
Closest atoms and distances in Å follow each position.
Element x y z (fractional)
I 0.0000 0.0000 0.5000  4 Re 2.66
O 0.5000 0.0000 0.0000  2 Rh 1.88
O 0.0000 0.5000 0.0000  2 Rh 1.88
Re 0.5000 0.5000 0.5000  4 I 2.66
Rh 0.0000 0.0000 0.0000  4 O 1.88



# 2
ScReIO2: PBEsol geometry, SCAN.

Properties
E_form (uncorrected) = -0.37 eV per atom
Volume = 94 Å³/f.u.

Cell: 3.9938 3.9938 5.8677 Å, 90.00 90.00 90.00°
Closest atoms and distances in Å follow each position.
Element x y z (fractional)
I 0.0000 0.0000 0.5000  4 Re 2.82, 2 Sc 2.93
O 0.5000 0.0000 0.0000  2 Sc 2.00
O 0.0000 0.5000 0.0000  2 Sc 2.00
Sc 0.0000 0.0000 0.0000  4 O 2.00
Re 0.5000 0.5000 0.5000  4 I 2.82